# 1
The following is a DFT calculation (PBE) of a geometry-optimized Ba2Y2Ir structure.

a b c (Å): 10.320 10.320 10.320
angles (deg): 156.71 156.71 33.17
Atoms (fractional coordinates):
Ba (0.250, 0.750, 0.500)
Ba (0.750, 0.250, 0.500)
Y (0.075, 0.075, 0.000)
Y (0.925, 0.925, 0.000)
Ir (0.500, 0.500, 0.000)

Summary:
Space group: I4/mmm
Calculated formation energy in eV per atom: 0.78
Theoretical density in g/cm³: 6.24
V in Å³/cell: 171.7
DFT total energy in eV per atom: -4.35

# 2
The following is a DFT calculation (PBE) of a geometry-optimized Al2ZnCu6 structure.

a b c (Å): 7.431 7.431 4.436
angles (deg): 96.50 96.50 72.03
Atoms (fractional coordinates):
Al (0.041, 0.292, 0.083)
Al (0.292, 0.041, 0.583)
Al (0.708, 0.959, 0.417)
Al (0.959, 0.708, 0.917)
Zn (0.377, 0.623, 0.750)
Zn (0.623, 0.377, 0.250)
Cu (0.070, 0.820, 0.470)
Cu (0.153, 0.401, 0.635)
Cu (0.180, 0.930, 0.030)
Cu (0.262, 0.514, 0.192)
Cu (0.401, 0.153, 0.135)
Cu (0.486, 0.738, 0.308)
Cu (0.514, 0.262, 0.692)
Cu (0.599, 0.847, 0.865)
Cu (0.738, 0.486, 0.808)
Cu (0.820, 0.070, 0.970)
Cu (0.847, 0.599, 0.365)
Cu (0.930, 0.180, 0.530)

Summary:
Space group: C2/c
Calculated formation energy in eV per atom: -0.13
Theoretical density in g/cm³: 7.21
V in Å³/cell: 230.7
DFT total energy in eV per atom: -3.84

# 3
The following is a DFT calculation (PBE) of a geometry-optimized Ce6Ir2N structure.

a b c (Å): 6.261 7.100 11.529
angles (deg): 90.00 121.55 90.00
Atoms (fractional coordinates):
Ce (0.104, 0.037, 0.239)
Ce (0.104, 0.463, 0.739)
Ce (0.218, 0.687, 0.059)
Ce (0.218, 0.813, 0.559)
Ce (0.387, 0.163, 0.058)
Ce (0.387, 0.337, 0.558)
Ce (0.613, 0.663, 0.442)
Ce (0.613, 0.837, 0.942)
Ce (0.782, 0.187, 0.441)
Ce (0.782, 0.313, 0.941)
Ce (0.896, 0.537, 0.261)
Ce (0.896, 0.963, 0.761)
Ir (0.318, 0.117, 0.748)
Ir (0.318, 0.383, 0.248)
Ir (0.682, 0.617, 0.752)
Ir (0.682, 0.883, 0.252)
N (0.000, 0.000, 0.000)
N (0.000, 0.500, 0.500)

Summary:
Space group: P2_1/c
Theoretical density in g/cm³: 9.42
Raw formation energy in eV/atom: -0.670
V in Å³/cell: 436.7
DFT total energy in eV per atom: -7.52